[1]
! SrGePAu2 | Alexandria | PBE | optimized geometry; values from VASP
&SYSTEM
  ibrav = 0, nat = 5, ntyp = 4
/
ATOMIC_SPECIES
Au 196.97 Au.upf
Ge 72.64 Ge.upf
P 30.97 P.upf
Sr 87.62 Sr.upf
CELL_PARAMETERS angstrom
4.775 0.000 0.000
0.000 6.199 0.000
0.000 0.000 4.775
ATOMIC_POSITIONS angstrom
Au 0.000 0.000 2.388
Ge 0.000 0.000 0.000
Au 2.388 0.000 0.000
P 2.388 3.100 2.388
Sr 0.000 3.100 0.000
! energy of formation from the pure elements	0.223	eV/atom
! space group	P4/mmm
! crystal system	tetragonal
! ρ	6.874	g/cm3
! total moment	0.9	Bohr magnetons per cell



[2]
! LiReBr2 | Alexandria | PBE | optimized geometry; values from VASP
&SYSTEM
  ibrav = 0, nat = 4, ntyp = 3
/
ATOMIC_SPECIES
Re 186.21 Re.upf
Br 79.90 Br.upf
Li 6.94 Li.upf
CELL_PARAMETERS angstrom
7.366 0.166 -0.011
5.182 5.238 0.011
-6.144 -3.004 2.741
ATOMIC_POSITIONS angstrom
Re 2.656 2.468 1.376
Br 4.773 2.055 0.000
Br 1.501 0.647 0.000
Li 3.748 -0.068 1.365
! space group	Immm
! relative energy among the computed polymorphs	0.094	eV per atom
! crystal system	orthorhombic
! ρ	5.665	g/cm3
! total moment	2.0	Bohr magnetons per cell
! formation energy (no corrections)	0.233	eV/atom